Entry from Alexandria via LeMat-Bulk: a relaxed structure of CaTbTh2Bi4 (GGA-PBE).

Cell: 4.5849 7.9521 7.8812 Å, 109.56 90.00 90.00°
Closest atoms and distances in Å follow each position.
Element x y z (fractional)
Bi (0.5000, 0.7533, 0.7557)  2 Tb 3.21, 1 Ca 3.22, 3 Th 3.25-3.26
Bi (0.0000, 0.7510, 0.2475)  1 Tb 3.21, 2 Ca 3.23, 3 Th 3.24-3.26
Bi (0.5000, 0.2467, 0.2443)  2 Tb 3.21, 1 Ca 3.22, 3 Th 3.25-3.26
Bi (0.0000, 0.2490, 0.7525)  1 Tb 3.21, 2 Ca 3.23, 3 Th 3.24-3.26
Ca (0.5000, 0.5000, 0.0000)  6 Bi 3.22-3.23
Th (0.0000, 0.5000, 0.5000)  6 Bi 3.26
Th (0.5000, 0.0000, 0.5000)  6 Bi 3.24-3.25
Tb (0.0000, 0.0000, 0.0000)  6 Bi 3.21

Results
energy relative to the elements = -741 meV per atom
symmetry = No. 10
magnetic moment = 0.0 μB per cell
electronic total energy = -5.37 eV/atom



Entry from Alexandria via LeMat-Bulk: a relaxed structure of CaTb2Tm3Bi6 (GGA-PBE).

Cell: 4.4727 8.9865 10.0307 Å, 103.01 102.88 90.00°
Closest atoms and distances in Å follow each position.
Element x y z (fractional)
Bi (0.6697, 0.0821, 0.3394)  3 Tm 3.14-3.15, 2 Tb 3.18, 1 Ca 3.23
Bi (0.9992, 0.2576, 0.9984)  3 Tm 3.12-3.13, 1 Tb 3.17, 2 Ca 3.22
Bi (0.3338, 0.4146, 0.6676)  3 Tm 3.16, 3 Tb 3.19-3.20
Bi (0.3303, 0.9179, 0.6606)  3 Tm 3.14-3.15, 2 Tb 3.18, 1 Ca 3.23
Bi (0.6662, 0.5854, 0.3324)  3 Tm 3.16, 3 Tb 3.19-3.20
Bi (0.0008, 0.7424, 0.0016)  3 Tm 3.12-3.13, 1 Tb 3.17, 2 Ca 3.22
Ca (0.5000, 0.0000, 0.0000)  6 Bi 3.22-3.23
Tm (0.1652, 0.8337, 0.3303)  6 Bi 3.13-3.16
Tm (0.5000, 0.5000, 0.0000)  6 Bi 3.12-3.16
Tm (0.8348, 0.1663, 0.6697)  6 Bi 3.13-3.16
Tb (0.1659, 0.3315, 0.3318)  6 Bi 3.17-3.20
Tb (0.8341, 0.6685, 0.6682)  6 Bi 3.17-3.20

Results
energy relative to the elements = -799 meV per atom
symmetry = No. 12
magnetic moment = 0.0 μB per cell
electronic total energy = -4.80 eV/atom



Entry from Alexandria via LeMat-Bulk: a relaxed structure of CaTb2TmBi4 (GGA-PBE).

Cell: 4.4768 7.8118 7.8379 Å, 70.87 90.00 90.00°
Closest atoms and distances in Å follow each position.
Element x y z (fractional)
Tm (0.5000, 0.5000, 0.0000)  6 Bi 3.17
Ca (0.0000, 0.5000, 0.5000)  6 Bi 3.21-3.22
Tb (0.5000, 0.0000, 0.5000)  6 Bi 3.21
Tb (0.0000, 0.0000, 0.0000)  6 Bi 3.16
Bi (0.5000, 0.7532, 0.2436)  3 Tb 3.16-3.21, 1 Tm 3.17, 2 Ca 3.22
Bi (0.5000, 0.2468, 0.7564)  3 Tb 3.16-3.21, 1 Tm 3.17, 2 Ca 3.22
Bi (0.0000, 0.7489, 0.7548)  3 Tb 3.16-3.21, 2 Tm 3.17, 1 Ca 3.21
Bi (0.0000, 0.2512, 0.2452)  3 Tb 3.16-3.21, 2 Tm 3.17, 1 Ca 3.21

Results
energy relative to the elements = -794 meV per atom
symmetry = No. 10
magnetic moment = 0.0 μB per cell
electronic total energy = -4.70 eV/atom



Entry from Alexandria via LeMat-Bulk: a relaxed structure of CaTbY2Bi4 (GGA-PBE).

Cell: 4.4845 7.8477 7.8436 Å, 70.90 90.00 90.00°
Closest atoms and distances in Å follow each position.
Element x y z (fractional)
Y (0.0000, 0.0000, 0.0000)  6 Bi 3.16-3.17
Y (0.5000, 0.0000, 0.5000)  6 Bi 3.19
Ca (0.0000, 0.5000, 0.5000)  6 Bi 3.22-3.23
Bi (0.0000, 0.2475, 0.2482)  3 Y 3.17-3.19, 2 Tb 3.20, 1 Ca 3.22
Bi (0.5000, 0.7556, 0.2447)  3 Y 3.16-3.19, 1 Tb 3.20, 2 Ca 3.23
Bi (0.0000, 0.7525, 0.7518)  3 Y 3.17-3.19, 2 Tb 3.20, 1 Ca 3.22
Bi (0.5000, 0.2444, 0.7553)  3 Y 3.16-3.19, 1 Tb 3.20, 2 Ca 3.23
Tb (0.5000, 0.5000, 0.0000)  6 Bi 3.20

Results
energy relative to the elements = -829 meV per atom
symmetry = No. 10
magnetic moment = 0.0 μB per cell
electronic total energy = -5.21 eV/atom



Entry from Alexandria via LeMat-Bulk: a relaxed structure of Ca3TcBi (GGA-PBE).

Cell: 5.4419 5.4419 5.4419 Å, 90.00 90.00 90.00°
Closest atoms and distances in Å follow each position.
Element x y z (fractional)
Ca (0.0000, 0.0000, 0.5000)  2 Tc 2.72
Ca (0.0000, 0.5000, 0.0000)  2 Tc 2.72
Ca (0.5000, 0.0000, 0.0000)  2 Tc 2.72
Bi (0.5000, 0.5000, 0.5000)  12 Ca 3.85
Tc (0.0000, 0.0000, 0.0000)  6 Ca 2.72

Results
energy relative to the elements = 302 meV per atom
symmetry = No. 221
magnetic moment = 2.0 μB per cell
electronic total energy = -3.75 eV/atom



Entry from Alexandria via LeMat-Bulk: a relaxed structure of Ca2TcBi (GGA-PBE).

Cell: 10.4769 10.4769 7.8616 Å, 48.22 48.22 90.00°
Closest atoms and distances in Å follow each position.
Element x y z (fractional)
Bi (0.7500, 0.2500, 0.5000)  2 Tc 2.63
Bi (0.0000, 0.0000, 0.0000)  2 Tc 2.63
Ca (0.8750, 0.7101, 0.7500)  2 Tc 2.84
Ca (0.2899, 0.6250, 0.2500)  2 Tc 2.84
Ca (0.3750, 0.5399, 0.7500)  2 Tc 2.84
Ca (0.4601, 0.1250, 0.2500)  2 Tc 2.84
Tc (0.5000, 0.5000, 0.0000)  2 Bi 2.63, 4 Ca 2.84
Tc (0.2500, 0.7500, 0.5000)  2 Bi 2.63, 4 Ca 2.84

Results
energy relative to the elements = 302 meV per atom
symmetry = No. 122
magnetic moment = 0.6 μB per cell
electronic total energy = -4.26 eV/atom



Entry from Alexandria via LeMat-Bulk: a relaxed structure of CaTlTc2Bi (GGA-PBE).

Cell: 5.1276 5.8317 5.1276 Å, 90.00 90.00 90.00°
Closest atoms and distances in Å follow each position.
Element x y z (fractional)
Bi (0.0000, 0.0000, 0.0000)  4 Tc 2.56
Tl (0.0000, 0.5000, 0.0000)  2 Bi 2.92
Tc (0.0000, 0.0000, 0.5000)  2 Bi 2.56
Tc (0.5000, 0.0000, 0.0000)  2 Bi 2.56
Ca (0.5000, 0.5000, 0.5000)  4 Tl 3.63, 8 Tc 3.88

Results
energy relative to the elements = 1342 meV per atom
symmetry = No. 123
magnetic moment = 3.2 μB per cell
electronic total energy = -4.45 eV/atom



Entry from Alexandria via LeMat-Bulk: a relaxed structure of CaZrTc2Bi (GGA-PBE).

Cell: 4.7813 5.6096 4.7813 Å, 90.00 90.00 90.00°
Closest atoms and distances in Å follow each position.
Element x y z (fractional)
Tc (0.5000, 0.0000, 0.0000)  2 Zr 2.39
Tc (0.0000, 0.0000, 0.5000)  2 Zr 2.39
Ca (0.0000, 0.5000, 0.0000)  2 Zr 2.80
Zr (0.0000, 0.0000, 0.0000)  4 Tc 2.39
Bi (0.5000, 0.5000, 0.5000)  4 Ca 3.38, 8 Tc 3.69

Results
energy relative to the elements = 1217 meV per atom
symmetry = No. 123
magnetic moment = 0.0 μB per cell
electronic total energy = -5.82 eV/atom